Material: OsN2
Method: DFT, PBE-GGA
State: relaxed

Cell lengths 6.0944, 6.0944, 6.0944 Å; angles 90.00, 90.00, 90.00 degrees
Last column: nearest neighbours and their distance in Å.
Space group Fd-3m (No. 227, origin choice 2)
Asymmetric unit:
Os 0.1250 0.1250 0.1250  12 N 2.53, 4 Os 2.64
N 0.0000 0.0000 0.5000  6 N 2.15

Total magnetization = 0.0 μB/cell
Volume = 9.432 Å³/atom
Calculated total energy = -6.1456 eV per atom